# 1
Density functional theory data (PBE) for an optimized crystal structure of Dy7TmTh3.

offset from the most stable computed form	0	meV per atom
size of the total moment	0.0	μB/f.u.

Structure (CIF):
```
data_Dy7TmTh3
_chemical_formula_sum 'Dy7 Tm1 Th3'
_cell_length_a 6.429
_cell_length_b 6.675
_cell_length_c 8.617
_cell_angle_alpha 101.36
_cell_angle_beta 97.07
_cell_angle_gamma 96.79
_symmetry_space_group_name_H-M 'P -1'
_symmetry_Int_Tables_number 2
_symmetry_space_group_name_Hall '-P 1'
loop_
_atom_site_label
_atom_site_fract_x
_atom_site_fract_y
_atom_site_fract_z
Dy1 0.000 0.000 0.000
Dy2 0.071 0.714 0.645
Dy3 0.206 0.230 0.705
Dy4 0.492 0.731 0.925
Tm1 0.000 0.500 0.000
Th1 0.324 0.946 0.334
Th2 0.500 0.500 0.500
```

# 2
Density functional theory data (PBE) for an optimized crystal structure of ReGeOs.

offset from the most stable computed form	118	meV per atom
size of the total moment	0.0	μB/f.u.

Structure (CIF):
```
data_ReGeOs
_chemical_formula_sum 'Re2 Ge2 Os2'
_cell_length_a 4.278
_cell_length_b 4.770
_cell_length_c 5.259
_cell_angle_alpha 100.47
_cell_angle_beta 113.53
_cell_angle_gamma 106.64
_symmetry_space_group_name_H-M 'P -1'
_symmetry_Int_Tables_number 2
_symmetry_space_group_name_Hall '-P 1'
loop_
_atom_site_label
_atom_site_fract_x
_atom_site_fract_y
_atom_site_fract_z
Re1 0.004 0.229 0.393
Ge1 0.386 0.282 0.106
Os1 0.312 0.785 0.232
```

# 3
Density functional theory data (PBE) for an optimized crystal structure of Cd3FeSe.

raw formation energy	0.576	eV/atom
offset from the most stable computed form	0	meV per atom
size of the total moment	3.0	μB/f.u.

Structure (CIF):
```
data_Cd3FeSe
_chemical_formula_sum 'Cd3 Fe1 Se1'
_cell_length_a 5.079
_cell_length_b 5.079
_cell_length_c 5.079
_cell_angle_alpha 90.00
_cell_angle_beta 90.00
_cell_angle_gamma 90.00
_symmetry_space_group_name_H-M 'P m -3 m'
_symmetry_Int_Tables_number 221
_symmetry_space_group_name_Hall '-P 4 2 3'
loop_
_atom_site_label
_atom_site_fract_x
_atom_site_fract_y
_atom_site_fract_z
Cd1 0.000 0.000 0.500
Fe1 0.000 0.000 0.000
Se1 0.500 0.500 0.500
```

# 4
Density functional theory data (PBE) for an optimized crystal structure of Tb2PuPb.

offset from the most stable computed form	0	meV per atom
size of the total moment	6.9	μB/f.u.

Structure (CIF):
```
data_Tb2PuPb
_chemical_formula_sum 'Tb2 Pu1 Pb1'
_cell_length_a 4.946
_cell_length_b 4.946
_cell_length_c 4.637
_cell_angle_alpha 90.00
_cell_angle_beta 90.00
_cell_angle_gamma 90.00
_symmetry_space_group_name_H-M 'P 4/m m m'
_symmetry_Int_Tables_number 123
_symmetry_space_group_name_Hall '-P 4 2'
loop_
_atom_site_label
_atom_site_fract_x
_atom_site_fract_y
_atom_site_fract_z
Tb1 0.000 0.500 0.000
Pu1 0.000 0.000 0.500
Pb1 0.500 0.500 0.500
```

# 5
Density functional theory data (PBE) for an optimized crystal structure of Nd3Ga5Ni6.

total DFT energy (no corrections)	-142.302	eV/cell
size of the total moment	0.0	μB/f.u.

Structure (CIF):
```
data_Nd3Ga5Ni6
_chemical_formula_sum 'Nd6 Ga10 Ni12'
_cell_length_a 4.105
_cell_length_b 12.298
_cell_length_c 9.654
_cell_angle_alpha 90.00
_cell_angle_beta 90.00
_cell_angle_gamma 90.00
_symmetry_space_group_name_H-M 'P m m n'
_symmetry_Int_Tables_number 59
loop_
_symmetry_equiv_pos_as_xyz
'x,y,z'
'-x,-y,-z'
'-x+1/2,-y+1/2,z'
'x+1/2,y+1/2,-z'
'x+1/2,-y,-z'
'-x+1/2,y,z'
'-x,y+1/2,-z'
'x,-y+1/2,z'
loop_
_atom_site_label
_atom_site_fract_x
_atom_site_fract_y
_atom_site_fract_z
Nd1 0.250 0.085 0.248
Nd2 0.250 0.750 0.256
Ga1 0.250 0.080 0.641
Ga2 0.250 0.630 0.986
Ga3 0.250 0.750 0.619
Ni1 0.250 0.056 0.902
Ni2 0.250 0.250 0.508
Ni3 0.250 0.250 0.985
Ni4 0.250 0.580 0.493
```

# 6
Density functional theory data (PBE) for an optimized crystal structure of MgZn2W.

total DFT energy (no corrections)	-16.033	eV/cell
size of the total moment	0.0	μB/f.u.

Structure (CIF):
```
data_MgZn2W
_chemical_formula_sum 'Mg1 Zn2 W1'
_cell_length_a 2.761
_cell_length_b 4.210
_cell_length_c 5.670
_cell_angle_alpha 90.00
_cell_angle_beta 101.49
_cell_angle_gamma 90.00
_symmetry_space_group_name_H-M 'P 1 2/m 1'
_symmetry_Int_Tables_number 10
_symmetry_space_group_name_Hall '-P 2y'
loop_
_atom_site_label
_atom_site_fract_x
_atom_site_fract_y
_atom_site_fract_z
Mg1 0.000 0.000 0.000
Zn1 0.473 0.500 0.275
W1 0.000 0.000 0.500
```